Nd3ReN4 (PBE, relaxed); calculated total energy = -8.33 eV per atom; energy relative to the elements, uncorrected = -6.56 eV/f.u.; symmetry = Pmn2_1 (31)
1.0
7.7604 0.0000 0.0000
0.0000 6.9102 0.0000
0.0000 0.0000 5.3576
Nd Re N
6 2 8
Direct
0.0000 0.1443 0.0000
0.2410 0.3394 0.5010
0.2590 0.6606 0.0010
0.5000 0.8557 0.5000
0.7410 0.6606 0.0010
0.7590 0.3394 0.5010
0.0000 0.8255 0.4351
0.5000 0.1745 0.9351
0.0000 0.1032 0.4855
0.0000 0.8135 0.0675
0.2186 0.6972 0.4849
0.2814 0.3028 0.9849
0.5000 0.1865 0.5675
0.5000 0.8968 0.9855
0.7186 0.3028 0.9849
0.7814 0.6972 0.4849

***

NdRe2N7 (PBE, relaxed); calculated total energy = -8.29 eV per atom; energy relative to the elements, uncorrected = 5.08 eV/f.u.; symmetry = Cmmm (65)
1.0
3.1877 -4.9115 0.0000
3.1877 4.9115 0.0000
0.0000 0.0000 3.8059
Nd Re N
1 2 7
Direct
0.0000 0.0000 0.0000
0.3022 0.6978 0.5000
0.6978 0.3022 0.5000
0.0766 0.3338 0.5000
0.2735 0.7265 0.0000
0.3338 0.0766 0.5000
0.5000 0.5000 0.5000
0.6662 0.9234 0.5000
0.7265 0.2735 0.0000
0.9234 0.6662 0.5000

***

NdReN2 (PBE, relaxed); calculated total energy = -8.27 eV per atom; energy relative to the elements, uncorrected = 0.78 eV/f.u.; symmetry = R-3m (166); energy relative to the lowest polymorph listed for this composition = 1.0358 eV/atom
1.0
1.6891 0.9752 6.2378
-1.6891 0.9752 6.2378
0.0000 -1.9504 6.2378
Nd Re N
1 1 2
Direct
0.0000 0.0000 0.0000
0.5000 0.5000 0.5000
0.1251 0.1251 0.1251
0.8749 0.8749 0.8749

***

Nd4Re3N10 (PBE, relaxed); calculated total energy = -8.94 eV per atom; energy relative to the elements, uncorrected = -12.37 eV/f.u.; symmetry = I4/mmm (139)
1.0
-1.9735 1.9735 14.1123
1.9735 -1.9735 14.1123
1.9735 1.9735 -14.1123
Nd Re N
4 3 10
Direct
0.0678 0.0678 0.0000
0.2029 0.2029 0.0000
0.7971 0.7971 0.0000
0.9322 0.9322 0.0000
0.3599 0.3599 0.0000
0.5000 0.5000 0.0000
0.6401 0.6401 0.0000
0.0000 0.5000 0.5000
0.1403 0.6403 0.5000
0.2873 0.2873 0.0000
0.3597 0.8597 0.5000
0.4297 0.4297 0.0000
0.5000 0.0000 0.5000
0.5703 0.5703 0.0000
0.6403 0.1403 0.5000
0.7127 0.7127 0.0000
0.8597 0.3597 0.5000

***

The highest calculated total energy belongs to which entry?
NdReN2

***

Look up the energy relative to the elements, uncorrected of the fourth one.
-12.37 eV/f.u.